No. 1
RePd2Au: relaxed, PBE.

Calculated values
Relative energy among the computed polymorphs = 0.0 kJ/mol of atoms

Geometry as extended XYZ:
```
4
Lattice="-1.333 0.347 -2.440 -2.642 -0.887 -0.292 -4.417 8.088 1.952" Properties=species:S:1:pos:R:3 pbc="T T T"
Re 0.000 0.000 0.000
Au -4.196 3.774 -0.390
Pd -6.335 5.770 -0.547
Pd -2.057 1.777 -0.233
```


No. 2
RePd2Au: relaxed, PBE.

Calculated values
Relative energy among the computed polymorphs = 40.3 kJ/mol of atoms

Geometry as extended XYZ:
```
4
Lattice="-0.349 -0.292 4.452 0.845 3.579 2.550 -3.349 2.076 2.123" Properties=species:S:1:pos:R:3 pbc="T T T"
Re 0.000 0.000 0.000
Au -1.426 2.681 4.563
Pd -0.713 1.341 2.281
Pd -2.139 4.022 6.844
```


No. 3
RePd3Au: relaxed, PBE.

Calculated values
Relative energy among the computed polymorphs = 52.7 kJ/mol of atoms

Geometry as extended XYZ:
```
5
Lattice="4.901 0.000 0.000 0.000 4.901 0.000 0.000 0.000 4.901" Properties=species:S:1:pos:R:3 pbc="T T T"
Re 2.451 2.451 2.451
Au 0.000 0.000 0.000
Pd 0.000 2.451 0.000
Pd 0.000 0.000 2.451
Pd 2.451 0.000 0.000
```


No. 4
RePdRhAu2: relaxed, PBE.

Calculated values
Raw total energy = -24.619 eV/cell

Geometry as extended XYZ:
```
5
Lattice="-0.060 0.906 4.912 3.194 -3.273 0.643 3.608 3.405 -0.584" Properties=species:S:1:pos:R:3 pbc="T T T"
Re 0.000 0.000 0.000
Rh 1.597 -1.637 0.322
Au 1.804 1.703 -0.292
Au -0.030 0.453 2.456
Pd 3.371 0.519 2.485
```